No. 1
! CdRe2P, relaxed, DFT PBE; values from VASP
&SYSTEM
  ibrav = 0, nat = 4, ntyp = 3
/
ATOMIC_SPECIES
Cd 112.41 Cd.upf
Re 186.21 Re.upf
P 30.97 P.upf
ATOMIC_POSITIONS angstrom
Cd 0.000 0.000 0.000
Re 0.000 0.000 6.169
Re 0.000 0.000 19.937
P 0.000 0.000 13.053
CELL_PARAMETERS angstrom
1.434 0.828 8.702
-1.434 0.828 8.702
0.000 -1.656 8.702
! energy above the lowest structure with this stoichiometry = 92 meV/atom
! volume = 15.51 Å³ per atom
! ΔE_f = 0.261 eV/atom

=====

No. 2
! CdRe2P, relaxed, DFT PBE; values from VASP
&SYSTEM
  ibrav = 0, nat = 4, ntyp = 3
/
ATOMIC_SPECIES
Cd 112.41 Cd.upf
Re 186.21 Re.upf
P 30.97 P.upf
ATOMIC_POSITIONS angstrom
Cd 0.000 0.000 0.000
Re 0.773 2.217 1.269
Re 0.773 -2.217 1.269
P 2.817 0.000 0.000
CELL_PARAMETERS angstrom
2.817 -4.433 0.000
2.817 4.433 0.000
-1.271 0.000 2.539
! energy above the lowest structure with this stoichiometry = 661 meV/atom
! volume = 15.85 Å³ per atom
! ΔE_f = 0.831 eV/atom

=====

No. 3
! CdReP4, relaxed, DFT PBE; values from VASP
&SYSTEM
  ibrav = 0, nat = 6, ntyp = 3
/
ATOMIC_SPECIES
Cd 112.41 Cd.upf
Re 186.21 Re.upf
P 30.97 P.upf
ATOMIC_POSITIONS angstrom
Cd 0.000 0.000 0.000
Re 5.385 5.385 5.385
P 2.716 2.716 2.716
P 4.464 4.464 2.716
P 4.464 2.716 4.464
P 2.716 4.464 4.464
CELL_PARAMETERS angstrom
0.000 3.590 3.590
3.590 0.000 3.590
3.590 3.590 0.000
! volume = 15.42 Å³ per atom
! ΔE_f = 0.992 eV/atom